# NaGdCoO3

A geometry-optimized NaGdCoO3 structure (GGA+U, OQMD via LeMat-Bulk).

```
NaGdCoO3
1.0
1.7371 -5.1560 0.0000
1.7371 5.1560 0.0000
0.0000 0.0000 9.3735
Na Gd Co O
2 2 2 6
direct
0.2353 0.7647 0.7500
0.7647 0.2353 0.2500
0.5000 0.5000 0.0000
0.5000 0.5000 0.5000
0.0380 0.9620 0.2500
0.9620 0.0380 0.7500
0.1280 0.8720 0.0739
0.1280 0.8720 0.4261
0.4352 0.5648 0.2500
0.5648 0.4352 0.7500
0.8720 0.1280 0.5739
0.8720 0.1280 0.9261
```

As for the space-group type: Cmcm (63). The total energy is -75.70 eV/cell.